No. 1
28
Lattice="-3.6209 0.0807 4.8270 -4.1763 -5.1609 -3.0465 7.0538 -8.9195 5.4404" Properties=species:S:1:pos:R:3 comment="Li2ZnCl4, single point on PBEsol structure, DFT meta-GGA SCAN" formation_energy_uncorrected_ev_per_atom=-1.7053 pbc="T T T"
Li 0.0000 0.0000 0.0000
Li 1.7164 -4.4194 5.1337
Li -2.0882 -2.5805 -1.5233
Li -0.3717 -6.9999 3.6104
Li -2.7686 -3.5971 5.5104
Li -3.2954 -5.9029 1.3814
Li 2.0251 -10.4026 1.7105
Li 2.5520 -8.0969 5.8394
Zn -1.9244 -2.0475 1.7280
Zn 2.8035 -6.5341 2.8471
Zn 1.1809 -11.9523 5.4928
Zn -3.5470 -7.4657 4.3737
Cl 3.7660 -5.9569 4.8197
Cl -2.4732 -5.5266 3.8865
Cl -1.7885 -4.0136 0.6026
Cl 2.5116 -11.9762 3.7093
Cl -3.2551 -2.0235 3.5116
Cl -1.2659 -7.5109 1.3232
Cl -1.8017 -8.9352 4.4706
Cl 0.5224 -6.4889 5.8976
Cl 1.0583 -5.0646 2.7503
Cl -5.3148 -4.4757 1.7320
Cl 1.7298 -8.4732 3.3343
Cl 4.5713 -9.5240 5.4889
Cl 0.2477 -1.4973 2.0880
Cl -4.5094 -8.0429 2.4012
Cl 1.0450 -9.9862 6.6182
Cl -0.9912 -12.5025 5.1329

=====

No. 2
40
Lattice="-3.9796 -1.0701 -3.0321 5.1859 0.2180 -6.8832 1.4293 -9.0834 1.3298" Properties=species:S:1:pos:R:3 comment="LiVOF2, single point on PBEsol structure, DFT meta-GGA SCAN" e_above_lowest_polymorph_mev_per_atom=27 formation_energy_uncorrected_ev_per_atom=-2.9644 pbc="T T T"
Li 2.0047 -9.0723 -0.0133
Li 5.0784 -7.0307 -4.9949
Li -1.4611 -3.4671 -4.6807
Li 0.4419 -5.3469 -6.7417
Li 1.0073 -9.5629 -2.8695
Li 2.1971 -7.7451 -5.2130
Li -0.4224 -3.1273 -1.9120
Li 3.4444 -4.7620 -6.5503
V 3.3875 -7.3152 -2.4937
V 1.4414 -5.2348 -0.3540
V -0.3744 -1.5775 -7.2751
V 1.8665 -3.5785 -9.1903
V -1.1933 -7.9546 -0.8467
V 0.0752 -5.7576 -3.3424
V 2.8379 -0.8691 -6.7750
V 1.5182 -3.0798 -4.3183
O -0.0822 -4.1921 -0.1871
O 3.8807 -8.6007 -4.0670
O 4.3070 -1.5274 -5.7524
O 2.5710 -1.8036 -3.5474
O -2.5404 -7.3237 -1.9043
O -0.9621 -7.0899 -4.2293
O -1.5541 -4.7400 -2.9111
O 0.8818 -9.2550 -4.7494
F 2.1109 -8.5908 -1.7731
F 0.7977 -1.8131 -1.0678
F 0.7349 -7.1521 -6.4125
F 1.8854 -4.5058 -7.4826
F -0.6411 -9.3134 -2.1028
F 0.2557 -4.6108 -4.9997
F 2.8159 -9.1121 -6.6992
F 1.3750 -2.1040 -6.1112
F -0.2330 -2.3189 -3.7880
F 3.0798 -2.1755 -8.2910
F 1.8471 -6.6526 -3.6926
F 3.6238 -6.6039 -6.1462
F 0.1723 -6.5731 -1.4900
F 1.2627 -4.2076 -2.5858
F 5.3841 -8.5539 -6.3891
F 3.0025 -4.1880 -4.8643

=====

No. 3
5
Lattice="-2.5818 4.8084 -1.0372 0.0990 -4.0562 -4.1731 -4.6878 -2.7600 -1.1263" Properties=species:S:1:pos:R:3 comment="RbTa2Tl2, single point on PBEsol structure, DFT meta-GGA SCAN" energy_ev_per_atom=-58.6882 pbc="T T T"
Tl -5.4027 -0.4918 -3.7092
Tl -1.7679 -1.5160 -2.6274
Rb 0.0000 0.0000 0.0000
Ta -3.2972 0.9445 -2.2916
Ta -3.8734 -2.9522 -4.0450